Record 1
# GGA-PBE KPb2Cl, relaxed
data_KPb2Cl
_cell_length_a 4.4091
_cell_length_b 4.4091
_cell_length_c 16.3748
_cell_angle_alpha 82.26
_cell_angle_beta 82.26
_cell_angle_gamma 90.00
_space_group_name_H-M_alt 'P 1'
_space_group_IT_number 1
_space_group_name_Hall 'P 1'
loop_
_atom_site_label
_atom_site_type_symbol
_atom_site_fract_x
_atom_site_fract_y
_atom_site_fract_z
Pb1 Pb 0.6265 0.1250 0.2500
K1 K 0.0000 0.0000 0.0000
Pb2 Pb 0.1235 0.6250 0.2500
Cl1 Cl 0.5000 0.5000 0.0000
K2 K 0.7500 0.2500 0.5000
Pb3 Pb 0.3750 0.3735 0.7500
Pb4 Pb 0.8750 0.8765 0.7500
Cl2 Cl 0.2500 0.7500 0.5000
# Symmetry   I-42d
# DOS(E_F)   3.0 states/eV per cell
# Uncorrected formation energy   -0.61 eV/atom
# Calculated total energy   -25.6 eV for the cell shown
# Energy above the most stable polymorph in this dataset   100 meV/atom

=====

Record 2
# GGA-PBE MgTa2Co, relaxed
data_MgTa2Co
_cell_length_a 4.9789
_cell_length_b 4.9789
_cell_length_c 2.8211
_cell_angle_alpha 90.00
_cell_angle_beta 90.00
_cell_angle_gamma 112.02
_space_group_name_H-M_alt 'P 1'
_space_group_IT_number 1
_space_group_name_Hall 'P 1'
loop_
_atom_site_label
_atom_site_type_symbol
_atom_site_fract_x
_atom_site_fract_y
_atom_site_fract_z
Co1 Co 0.5000 0.0000 0.5000
Ta1 Ta 0.5000 0.5000 0.0000
Ta2 Ta 0.0000 0.0000 0.0000
Mg1 Mg 0.0000 0.5000 0.5000
# Symmetry   Cmmm
# DOS(E_F)   4.0 states/eV per cell
# Calculated total energy   -31.2 eV for the cell shown
# Energy relative to the elements   308 meV/atom

=====

Record 3
# GGA-PBE Y2Mn, relaxed
data_Y2Mn
_cell_length_a 3.5044
_cell_length_b 6.8451
_cell_length_c 3.5044
_cell_angle_alpha 75.17
_cell_angle_beta 90.00
_cell_angle_gamma 104.83
_space_group_name_H-M_alt 'P 1'
_space_group_IT_number 1
_space_group_name_Hall 'P 1'
loop_
_atom_site_label
_atom_site_type_symbol
_atom_site_fract_x
_atom_site_fract_y
_atom_site_fract_z
Mn1 Mn 0.0000 0.0000 0.0000
Y1 Y 0.6369 0.2737 0.3631
Y2 Y 0.3631 0.7263 0.6369
# Symmetry   I4/mmm
# DOS(E_F)   4.5 states/eV per cell
# Calculated total energy   -21.6 eV for the cell shown
# Energy relative to the elements   150 meV/atom

=====

Record 4
# GGA-PBE LuCoPd2, relaxed
data_LuCoPd2
_cell_length_a 3.9037
_cell_length_b 4.0630
_cell_length_c 4.0630
_cell_angle_alpha 90.00
_cell_angle_beta 90.00
_cell_angle_gamma 90.00
_space_group_name_H-M_alt 'P 1'
_space_group_IT_number 1
_space_group_name_Hall 'P 1'
loop_
_atom_site_label
_atom_site_type_symbol
_atom_site_fract_x
_atom_site_fract_y
_atom_site_fract_z
Pd1 Pd 0.0000 0.0000 0.5000
Pd2 Pd 0.0000 0.5000 0.0000
Co1 Co 0.5000 0.5000 0.5000
Lu1 Lu 0.5000 0.0000 0.0000
# Symmetry   P4/mmm
# DOS(E_F)   4.0 states/eV per cell
# Calculated total energy   -24.2 eV for the cell shown
# Energy relative to the elements   -552 meV/atom

=====

The lowest calculated total energy belongs to which entry?
MgTa2Co

=====

Among the records above, which one has the highest calculated total energy?
Y2Mn

=====

What is the formula in the fourth record?
LuCoPd2

=====

Copy entry 4 word for word.
# GGA-PBE LuCoPd2, relaxed
data_LuCoPd2
_cell_length_a 3.9037
_cell_length_b 4.0630
_cell_length_c 4.0630
_cell_angle_alpha 90.00
_cell_angle_beta 90.00
_cell_angle_gamma 90.00
_space_group_name_H-M_alt 'P 1'
_space_group_IT_number 1
_space_group_name_Hall 'P 1'
loop_
_atom_site_label
_atom_site_type_symbol
_atom_site_fract_x
_atom_site_fract_y
_atom_site_fract_z
Pd1 Pd 0.0000 0.0000 0.5000
Pd2 Pd 0.0000 0.5000 0.0000
Co1 Co 0.5000 0.5000 0.5000
Lu1 Lu 0.5000 0.0000 0.0000
# Symmetry   P4/mmm
# DOS(E_F)   4.0 states/eV per cell
# Calculated total energy   -24.2 eV for the cell shown
# Energy relative to the elements   -552 meV/atom